! Zr2Ti5Ni2Rh PBE-GGA optimized geometry; values from VASP
! M_tot = 0.00 μB per atom
! Space-group type = P4/mbm
! ΔH_f (0 K) = -0.334 eV per atom
! Calculated volume = 337.1 Å³/cell
&SYSTEM
  ibrav = 0, nat = 20, ntyp = 4
/
ATOMIC_SPECIES
Zr 91.22 Zr.upf
Ti 47.87 Ti.upf
Ni 58.69 Ni.upf
Rh 102.91 Rh.upf
CELL_PARAMETERS angstrom
10.2981 0.0000 0.0000
0.0000 10.2981 0.0000
0.0000 0.0000 3.1785
ATOMIC_POSITIONS angstrom
Zr 1.8268 3.3223 0.0000
Zr 3.3223 8.4713 0.0000
Zr 6.9758 1.8268 0.0000
Zr 8.4713 6.9758 0.0000
Ti 0.0000 5.1490 1.5892
Ti 0.5876 8.2168 1.5892
Ti 2.0812 0.5876 1.5892
Ti 3.0678 5.7366 1.5892
Ti 4.5615 3.0678 1.5892
Ti 5.1490 0.0000 1.5892
Ti 5.7366 7.2303 1.5892
Ti 7.2303 4.5615 1.5892
Ti 8.2168 9.7105 1.5892
Ti 9.7105 2.0812 1.5892
Ni 1.3156 6.4646 0.0000
Ni 3.8335 1.3156 0.0000
Ni 6.4646 8.9825 0.0000
Ni 8.9825 3.8335 0.0000
Rh 0.0000 0.0000 0.0000
Rh 5.1490 5.1490 0.0000